--- one ---
DFT (PBE-GGA) results for an optimized crystal structure of K2ScIr2.

abc: 5.8247 5.8247 5.8247
angles: 127.33 127.33 77.71
Atoms (fractional coordinates):
K (0.1379, 0.1379, 0.0000)
K (0.8621, 0.8621, 0.0000)
Sc (0.5000, 0.5000, 0.0000)
Ir (0.2500, 0.7500, 0.5000)
Ir (0.7500, 0.2500, 0.5000)



--- two ---
DFT (PBE-GGA) results for an optimized crystal structure of K2ScIr2.

abc: 8.0792 8.0792 8.0792
angles: 151.60 151.60 40.60
Atoms (fractional coordinates):
K (0.2500, 0.7500, 0.5000)
K (0.7500, 0.2500, 0.5000)
Sc (0.0000, 0.0000, 0.0000)
Ir (0.4197, 0.4197, 0.0000)
Ir (0.5803, 0.5803, 0.0000)



Stability summary: most stable two, least stable one.



--- one ---
DFT (PBE-GGA) results for an optimized crystal structure of KIrSe.

abc: 4.1526 4.1526 5.2895
angles: 90.00 90.00 120.00
Atoms (fractional coordinates):
K (0.0000, 0.0000, 0.0000)
Ir (0.3333, 0.6667, 0.5000)
Se (0.6667, 0.3333, 0.5000)



--- two ---
DFT (PBE-GGA) results for an optimized crystal structure of KIrSe.

abc: 4.6672 4.6672 4.6672
angles: 60.00 60.00 60.00
Atoms (fractional coordinates):
K (0.0000, 0.0000, 0.0000)
Ir (0.5000, 0.5000, 0.5000)
Se (0.2500, 0.2500, 0.2500)



--- three ---
DFT (PBE-GGA) results for an optimized crystal structure of KIrSe.

abc: 6.3781 6.3781 6.3781
angles: 148.67 148.20 45.25
Atoms (fractional coordinates):
K (0.0000, 0.0000, 0.0000)
Ir (0.7186, 0.7186, 0.0000)
Se (0.2771, 0.2771, 0.0000)



Stability summary: most stable one, least stable two.



--- one ---
DFT (PBE-GGA) results for an optimized crystal structure of KSiIr.

abc: 3.9893 3.9893 5.5159
angles: 90.00 90.00 120.00
Atoms (fractional coordinates):
K (0.0000, 0.0000, 0.0000)
Si (0.6667, 0.3333, 0.5000)
Ir (0.3333, 0.6667, 0.5000)



--- two ---
DFT (PBE-GGA) results for an optimized crystal structure of KSiIr.

abc: 6.7475 6.7475 6.7475
angles: 153.43 153.43 37.92
Atoms (fractional coordinates):
K (0.0000, 0.0000, 0.0000)
Si (0.2943, 0.2943, 0.0000)
Ir (0.7098, 0.7098, 0.0000)



Stability summary: most stable one, least stable two.